1.
Be2ReAs: relaxed, PBE.

Properties
Formation enthalpy at 0 K (eV/atom): 0.13
Symmetry: No. 8
Crystal system: monoclinic

a = 4.434 Å, b = 4.434 Å, c = 3.934 Å
α = 112.03°, β = 112.03°, γ = 41.72°
Atoms (fractional coordinates):
Be: 0.000 0.000 0.000
Be: 0.715 0.715 0.199
Re: 0.233 0.233 0.729
As: 0.472 0.472 0.444

2.
Be4ReAs: relaxed, PBE.

Properties
Formation enthalpy at 0 K (eV/atom): -0.02
Symmetry: No. 216
Crystal system: cubic

a = 4.411 Å, b = 4.411 Å, c = 4.411 Å
α = 60.00°, β = 60.00°, γ = 60.00°
Atoms (fractional coordinates):
Be: 0.123 0.123 0.123
Be: 0.123 0.123 0.632
Be: 0.123 0.632 0.123
Be: 0.632 0.123 0.123
Re: 0.750 0.750 0.750
As: 0.500 0.500 0.500

3.
Be2ReAs: relaxed, PBE.

Properties
Formation enthalpy at 0 K (eV/atom): 0.38
Symmetry: No. 123
Crystal system: tetragonal

a = 2.669 Å, b = 2.669 Å, c = 7.471 Å
α = 90.00°, β = 90.00°, γ = 90.00°
Atoms (fractional coordinates):
Be: 0.000 0.000 0.221
Be: 0.000 0.000 0.779
Re: 0.500 0.500 0.000
As: 0.500 0.500 0.500

4.
BeReAs: relaxed, PBE.

Properties
Formation enthalpy at 0 K (eV/atom): 0.50
Symmetry: No. 187
Excess energy over the best structure of this formula in the dataset (eV/f.u.): 1.81
Crystal system: hexagonal

a = 4.181 Å, b = 4.181 Å, c = 2.844 Å
α = 90.00°, β = 90.00°, γ = 120.00°
Atoms (fractional coordinates):
Be: 0.000 0.000 0.000
Re: 0.333 0.667 0.500
As: 0.667 0.333 0.500

5.
Be2ReAs: relaxed, PBE.

Properties
Formation enthalpy at 0 K (eV/atom): 0.32
Symmetry: No. 65
Crystal system: orthorhombic

a = 2.675 Å, b = 2.675 Å, c = 7.659 Å
α = 90.00°, β = 90.00°, γ = 106.63°
Atoms (fractional coordinates):
Be: 0.000 0.000 0.228
Be: 0.000 0.000 0.772
Re: 0.500 0.500 0.000
As: 0.500 0.500 0.500

6.
Be2ReAs: relaxed, PBE.

Properties
Formation enthalpy at 0 K (eV/atom): 0.33
Symmetry: No. 166
Crystal system: trigonal

a = 7.764 Å, b = 7.764 Å, c = 7.764 Å
α = 20.88°, β = 20.88°, γ = 20.88°
Atoms (fractional coordinates):
Be: 0.248 0.248 0.248
Be: 0.752 0.752 0.752
Re: 0.500 0.500 0.500
As: 0.000 0.000 0.000

7.
BeReAs4: relaxed, PBE.

Properties
Formation enthalpy at 0 K (eV/atom): 1.22
Symmetry: No. 216
Crystal system: cubic

a = 5.325 Å, b = 5.325 Å, c = 5.325 Å
α = 60.00°, β = 60.00°, γ = 60.00°
Atoms (fractional coordinates):
Be: 0.000 0.000 0.000
Re: 0.750 0.750 0.750
As: 0.375 0.375 0.375
As: 0.375 0.375 0.874
As: 0.375 0.874 0.375
As: 0.874 0.375 0.375

8.
Be2ReAs: relaxed, PBE.

Properties
Formation enthalpy at 0 K (eV/atom): 0.24
Symmetry: No. 65
Crystal system: orthorhombic

a = 3.894 Å, b = 3.894 Å, c = 3.159 Å
α = 90.00°, β = 90.00°, γ = 98.56°
Atoms (fractional coordinates):
Be: 0.000 0.500 0.000
Be: 0.500 0.000 0.000
Re: 0.000 0.000 0.500
As: 0.500 0.500 0.500

9.
BeReAs: relaxed, PBE.

Properties
Formation enthalpy at 0 K (eV/atom): 0.53
Symmetry: No. 216
Excess energy over the best structure of this formula in the dataset (eV/f.u.): 1.91
Crystal system: cubic

a = 4.039 Å, b = 4.039 Å, c = 4.039 Å
α = 60.00°, β = 60.00°, γ = 60.00°
Atoms (fractional coordinates):
Be: 0.000 0.000 0.000
Re: 0.750 0.750 0.750
As: 0.500 0.500 0.500

10.
BeReAs: relaxed, PBE.

Properties
Formation enthalpy at 0 K (eV/atom): 0.29
Symmetry: No. 156
Excess energy over the best structure of this formula in the dataset (eV/f.u.): 1.18
Crystal system: trigonal

a = 2.919 Å, b = 2.919 Å, c = 5.730 Å
α = 90.00°, β = 90.00°, γ = 120.00°
Atoms (fractional coordinates):
Be: 0.000 0.000 0.000
Re: 0.667 0.333 0.315
As: 0.333 0.667 0.650

11.
BeReAs3: relaxed, PBE.

Properties
Formation enthalpy at 0 K (eV/atom): 1.11
Symmetry: No. 221
Excess energy over the best structure of this formula in the dataset (eV/f.u.): 0.42
Crystal system: cubic

a = 4.391 Å, b = 4.391 Å, c = 4.391 Å
α = 90.00°, β = 90.00°, γ = 90.00°
Atoms (fractional coordinates):
Be: 0.000 0.000 0.000
Re: 0.500 0.500 0.500
As: 0.000 0.000 0.500
As: 0.000 0.500 0.000
As: 0.500 0.000 0.000

12.
BeReAs2Se: relaxed, PBE.

Properties
Symmetry: No. 123
Excess energy over the best structure of this formula in the dataset (eV/f.u.): 0.44
Crystal system: tetragonal

a = 4.301 Å, b = 4.301 Å, c = 4.668 Å
α = 90.00°, β = 90.00°, γ = 90.00°
Atoms (fractional coordinates):
Be: 0.000 0.000 0.000
Re: 0.500 0.500 0.500
As: 0.000 0.500 0.000
As: 0.500 0.000 0.000
Se: 0.000 0.000 0.500